Entry 1:
DFT (meta-GGA SCAN) results for a crystal of Na2BiPd2 relaxed with PBEsol.

Calculated values
The value obtained for the density of states at the Fermi level is 4.161 states/eV/cell. For the formation energy, the calculation gives -0.238 eV per atom.

a = 6.8803 Å, b = 6.8803 Å, c = 4.6856 Å
α = 90.00°, β = 90.00°, γ = 90.00°
Space group P4/mbm (No. 127)
One atom of each set of equivalent atoms:
Na  0.1664  0.3336  0.0000
Bi  0.0000  0.0000  0.5000
Pd  0.1360  0.6360  0.5000

Entry 2:
DFT (meta-GGA SCAN) results for a crystal of MgSiTe2 relaxed with PBEsol.

Calculated values
The value obtained for the density of states at the Fermi level is 6.041 states/eV/cell. For the energy above the most stable polymorph in this dataset, the calculation gives 0.045 eV/atom. As for the uncorrected formation energy: 0.63 eV per formula unit.

a = 3.8699 Å, b = 3.8699 Å, c = 26.3581 Å
α = 90.00°, β = 90.00°, γ = 120.00°
Space group R-3m (No. 166, hexagonal axes)
One atom of each set of equivalent atoms:
Mg  0.0000  0.0000  0.0000
Si  0.0000  0.0000  0.5000
Te  0.0000  0.0000  0.1063

Entry 3:
DFT (meta-GGA SCAN) results for a crystal of Li2MnSi3O8 relaxed with PBEsol.

Calculated values
The value obtained for the density of states at the Fermi level is 0.000 states/eV/cell. For the energy above the most stable polymorph in this dataset, the calculation gives 0.000 eV/atom. As for the uncorrected formation energy: -37.90 eV per formula unit.

a = 5.1205 Å, b = 9.6861 Å, c = 6.8905 Å
α = 90.00°, β = 90.88°, γ = 90.00°
Space group P2_1 (No. 4)
One atom of each set of equivalent atoms:
Li  0.0635  0.0000  0.2495
Li  0.4025  0.2514  0.2679
Mn  0.0961  0.9156  0.7312
Si  0.0043  0.6862  0.0327
Si  0.4008  0.5109  0.4704
Si  0.4862  0.2780  0.7324
O  0.0240  0.0219  0.9688
O  0.0533  0.2315  0.1904
O  0.0922  0.4962  0.5010
O  0.1919  0.2662  0.8139
O  0.3012  0.7370  0.1012
O  0.4527  0.9402  0.3307
O  0.4851  0.9316  0.7141
O  0.4904  0.6782  0.4643

Entry 4:
DFT (meta-GGA SCAN) results for a crystal of BeTeSe relaxed with PBEsol.

Calculated values
The value obtained for the density of states at the Fermi level is 7.556 states/eV/cell. For the energy above the most stable polymorph in this dataset, the calculation gives 0.565 eV/atom. As for the uncorrected formation energy: 1.16 eV per formula unit.

a = 6.3144 Å, b = 6.3144 Å, c = 6.3144 Å
α = 90.00°, β = 90.00°, γ = 90.00°
Space group F-43m (No. 216)
One atom of each set of equivalent atoms:
Be  0.0000  0.0000  0.0000
Te  0.2500  0.2500  0.7500
Se  0.2500  0.2500  0.2500